# 1
# MgNbCu (PBE-GGA, optimized geometry)
# Size of the total moment ... 0.00 μB per atom
# Polymorph energy (0 for the lowest one) ... 1.75 eV per formula unit
# E_form ... 0.625 eV per atom
data_MgNbCu
_symmetry_space_group_name_H-M 'P 63/m m c'
_symmetry_Int_Tables_number 194
_symmetry_space_group_name_Hall '-P 6c 2c'
_cell_length_a 4.5697
_cell_length_b 4.5697
_cell_length_c 5.4886
_cell_angle_alpha 90.00
_cell_angle_beta 90.00
_cell_angle_gamma 120.00
loop_
_atom_site_label
_atom_site_type_symbol
_atom_site_fract_x
_atom_site_fract_y
_atom_site_fract_z
_atom_site_occupancy
Mg1 Mg 0.3333 0.6667 0.2500 1
Nb1 Nb 0.3333 0.6667 0.7500 1
Cu1 Cu 0.0000 0.0000 0.0000 1


# 2
# Mn2ReH (PBE-GGA, optimized geometry)
# Size of the total moment ... 0.00 μB per atom
# Polymorph energy (0 for the lowest one) ... 0.00 eV per formula unit
data_Mn2ReH
_symmetry_space_group_name_H-M 'R -3 m'
_symmetry_Int_Tables_number 166
_symmetry_space_group_name_Hall '-R 3 2"'
_cell_length_a 2.6706
_cell_length_b 2.6706
_cell_length_c 18.8756
_cell_angle_alpha 90.00
_cell_angle_beta 90.00
_cell_angle_gamma 120.00
loop_
_atom_site_label
_atom_site_type_symbol
_atom_site_fract_x
_atom_site_fract_y
_atom_site_fract_z
_atom_site_occupancy
Mn1 Mn 0.0000 0.0000 0.2207 1
Re1 Re 0.0000 0.0000 0.0000 1
H1 H 0.0000 0.0000 0.5000 1


# 3
# La2PrDySe4 (PBE-GGA, optimized geometry)
# DFT total energy ... -6.044 eV/atom
# Size of the total moment ... 0.00 μB per atom
data_La2PrDySe4
_symmetry_space_group_name_H-M 'P 1 2/m 1'
_symmetry_Int_Tables_number 10
_cell_length_a 7.3681
_cell_length_b 4.2020
_cell_length_c 7.3806
_cell_angle_alpha 90.00
_cell_angle_beta 109.02
_cell_angle_gamma 90.00
loop_
_symmetry_equiv_pos_as_xyz
'x,y,z'
'-x,-y,-z'
'-x,y,-z'
'x,-y,z'
loop_
_atom_site_label
_atom_site_type_symbol
_atom_site_fract_x
_atom_site_fract_y
_atom_site_fract_z
_atom_site_occupancy
La1 La 0.0000 0.0000 0.0000 1
La2 La 0.0000 0.5000 0.5000 1
Pr1 Pr 0.5000 0.0000 0.5000 1
Dy1 Dy 0.5000 0.5000 0.0000 1
Se1 Se 0.2579 0.5000 0.2444 1
Se2 Se 0.2640 0.0000 0.7628 1


# 4
# TbSi2Pd5 (PBE-GGA, optimized geometry)
# DFT total energy ... -5.960 eV/atom
# Size of the total moment ... 0.00 μB per atom
data_TbSi2Pd5
_symmetry_space_group_name_H-M 'I m m m'
_symmetry_Int_Tables_number 71
_symmetry_space_group_name_Hall '-I 2 2'
_cell_length_a 3.8736
_cell_length_b 7.0745
_cell_length_c 9.7548
_cell_angle_alpha 90.00
_cell_angle_beta 90.00
_cell_angle_gamma 90.00
loop_
_atom_site_label
_atom_site_type_symbol
_atom_site_fract_x
_atom_site_fract_y
_atom_site_fract_z
_atom_site_occupancy
Tb1 Tb 0.0000 0.0000 0.0000 1
Si1 Si 0.0000 0.5000 0.2459 1
Pd1 Pd 0.0000 0.1984 0.3505 1
Pd2 Pd 0.0000 0.5000 0.0000 1


# 5
# Ba2Sn3BiPt4 (PBE-GGA, optimized geometry)
# Size of the total moment ... 0.00 μB per atom
# E_form ... -0.746 eV per atom
data_Ba2Sn3BiPt4
_symmetry_space_group_name_H-M 'P -4 m 2'
_symmetry_Int_Tables_number 115
_cell_length_a 4.8645
_cell_length_b 4.8645
_cell_length_c 10.7485
_cell_angle_alpha 90.00
_cell_angle_beta 90.00
_cell_angle_gamma 90.00
loop_
_symmetry_equiv_pos_as_xyz
'x,y,z'
'y,-x,-z'
'-x,-y,z'
'-y,x,-z'
'-x,y,z'
'-y,-x,-z'
'x,-y,z'
'y,x,-z'
loop_
_atom_site_label
_atom_site_type_symbol
_atom_site_fract_x
_atom_site_fract_y
_atom_site_fract_z
_atom_site_occupancy
Ba1 Ba 0.0000 0.5000 0.2428 1
Sn1 Sn 0.0000 0.5000 0.8844 1
Sn2 Sn 0.5000 0.5000 0.5000 1
Bi1 Bi 0.0000 0.0000 0.5000 1
Pt1 Pt 0.0000 0.0000 0.0000 1
Pt2 Pt 0.0000 0.5000 0.6317 1
Pt3 Pt 0.5000 0.5000 0.0000 1


# 6
# Li4CaTl2Cd (PBE-GGA, optimized geometry)
# Size of the total moment ... 0.00 μB per atom
# E_form ... -0.229 eV per atom
data_Li4CaTl2Cd
_symmetry_space_group_name_H-M 'R -3 m'
_symmetry_Int_Tables_number 166
_symmetry_space_group_name_Hall '-R 3 2"'
_cell_length_a 4.8997
_cell_length_b 4.8997
_cell_length_c 24.6159
_cell_angle_alpha 90.00
_cell_angle_beta 90.00
_cell_angle_gamma 120.00
loop_
_atom_site_label
_atom_site_type_symbol
_atom_site_fract_x
_atom_site_fract_y
_atom_site_fract_z
_atom_site_occupancy
Li1 Li 0.0000 0.0000 0.1102 1
Li2 Li 0.0000 0.0000 0.3664 1
Ca1 Ca 0.0000 0.0000 0.5000 1
Tl1 Tl 0.0000 0.0000 0.2467 1
Cd1 Cd 0.0000 0.0000 0.0000 1


# 7
# SCl2OF (PBE-GGA, optimized geometry)
# Size of the total moment ... 0.93 μB per atom
# Polymorph energy (0 for the lowest one) ... 1.03 eV per formula unit
data_SCl2OF
_symmetry_space_group_name_H-M 'P 4/m m m'
_symmetry_Int_Tables_number 123
_symmetry_space_group_name_Hall '-P 4 2'
_cell_length_a 5.6759
_cell_length_b 5.6759
_cell_length_c 3.6215
_cell_angle_alpha 90.00
_cell_angle_beta 90.00
_cell_angle_gamma 90.00
loop_
_atom_site_label
_atom_site_type_symbol
_atom_site_fract_x
_atom_site_fract_y
_atom_site_fract_z
_atom_site_occupancy
S1 S 0.0000 0.0000 0.0000 1
Cl1 Cl 0.0000 0.5000 0.5000 1
O1 O 0.5000 0.5000 0.0000 1
F1 F 0.0000 0.0000 0.5000 1


# 8
# Na2HgPdN (PBE-GGA, optimized geometry)
# DFT total energy ... -3.328 eV/atom
# Size of the total moment ... 0.00 μB per atom
data_Na2HgPdN
_symmetry_space_group_name_H-M 'P 4/m m m'
_symmetry_Int_Tables_number 123
_symmetry_space_group_name_Hall '-P 4 2'
_cell_length_a 5.0945
_cell_length_b 5.0945
_cell_length_c 3.8403
_cell_angle_alpha 90.00
_cell_angle_beta 90.00
_cell_angle_gamma 90.00
loop_
_atom_site_label
_atom_site_type_symbol
_atom_site_fract_x
_atom_site_fract_y
_atom_site_fract_z
_atom_site_occupancy
Na1 Na 0.0000 0.5000 0.0000 1
Hg1 Hg 0.0000 0.0000 0.5000 1
Pd1 Pd 0.5000 0.5000 0.5000 1
N1 N 0.5000 0.5000 0.0000 1